Sr2FeW: relaxed, GGA-PBE.

a = 4.038 Å, b = 4.038 Å, c = 9.188 Å
α = 76.46°, β = 76.46°, γ = 60.09°
Positions (direct):
Sr  0.780  0.780  0.646
Sr  0.969  0.969  0.109
W  0.539  0.539  0.382
Fe  0.212  0.212  0.363

## Properties
As for the energy above the most stable polymorph in this dataset: 0.0 kJ/mol of formula units. As for the space group: Cm, No. 8. As for the formation energy: 0.505 eV/atom.